Computed, not measured: BaH6C4O10 after structural relaxation at the PBEsol level of DFT.

```
42
Lattice="5.3478 0.0000 0.0000 2.6739 7.1824 0.0535 2.6739 1.8925 11.2224" Properties=species:S:1:pos:R:3 pbc="T T T"
O 3.2552 2.5169 5.7122
H 7.5184 6.4980 8.3338
O 4.6613 6.2905 1.4053
O 7.4552 5.6358 8.8079
C 3.5455 1.3908 5.1833
H 6.5127 5.5722 9.1085
O 4.7812 7.9765 8.1058
H 4.1829 3.5027 2.1673
O 7.5393 8.0946 7.2087
O 5.9144 1.0984 3.1700
C 4.4762 5.9282 10.8212
H 5.7561 7.7424 10.8310
O 6.7597 3.8554 4.8576
O 3.9360 5.2195 6.4182
H 9.1866 8.0401 7.8052
H 4.9396 1.3325 0.4448
O 6.6099 8.3929 10.4955
C 4.7606 6.7285 0.2565
H 8.4300 5.8700 6.0827
O 4.8654 5.5177 9.7050
H 2.2657 3.2049 5.1931
O 6.0344 2.7844 9.8706
H 3.1773 2.5769 2.9420
O 2.0927 5.1619 0.1278
Ba 3.5146 3.2150 8.4301
O 3.1563 0.9803 4.0671
O 6.0344 3.6456 6.9897
C 4.7606 4.9913 5.4349
C 6.2194 3.1467 0.4547
H 1.5090 1.0348 3.4706
C 5.9350 4.0836 5.8409
H 5.8512 1.9605 2.6959
H 4.8445 7.1144 8.5799
O 5.8302 3.5572 1.5708
O 8.6030 3.9130 11.1481
O 4.6613 5.4293 4.2861
C 5.9350 2.3464 11.0194
C 7.1502 7.6841 6.0926
O 7.4405 6.5580 5.5636
Ba 7.1811 5.8599 2.8457
O 3.2405 3.4391 2.4679
O 4.0857 0.6820 0.7803
```

Properties
Total energy (eV/atom): -6.6931

---

Computed, not measured: SiPSe2Br after structural relaxation at the PBEsol level of DFT.

```
5
Lattice="-3.7153 -1.2296 -2.5976 0.9571 -4.6529 0.8335 -2.7913 0.1300 3.9309" Properties=species:S:1:pos:R:3 pbc="T T T"
Br -1.8576 -0.6148 -1.2988
Si 0.0000 0.0000 0.0000
Se 0.4786 -2.3264 0.4167
P -2.7748 -2.8762 1.0834
Se -1.3957 0.0650 1.9654
```

Properties
E_form (uncorrected) (eV/atom): 0.61

---

What did the first record say?
Computed, not measured: BaH6C4O10 after structural relaxation at the PBEsol level of DFT.

```
42
Lattice="5.3478 0.0000 0.0000 2.6739 7.1824 0.0535 2.6739 1.8925 11.2224" Properties=species:S:1:pos:R:3 pbc="T T T"
O 3.2552 2.5169 5.7122
H 7.5184 6.4980 8.3338
O 4.6613 6.2905 1.4053
O 7.4552 5.6358 8.8079
C 3.5455 1.3908 5.1833
H 6.5127 5.5722 9.1085
O 4.7812 7.9765 8.1058
H 4.1829 3.5027 2.1673
O 7.5393 8.0946 7.2087
O 5.9144 1.0984 3.1700
C 4.4762 5.9282 10.8212
H 5.7561 7.7424 10.8310
O 6.7597 3.8554 4.8576
O 3.9360 5.2195 6.4182
H 9.1866 8.0401 7.8052
H 4.9396 1.3325 0.4448
O 6.6099 8.3929 10.4955
C 4.7606 6.7285 0.2565
H 8.4300 5.8700 6.0827
O 4.8654 5.5177 9.7050
H 2.2657 3.2049 5.1931
O 6.0344 2.7844 9.8706
H 3.1773 2.5769 2.9420
O 2.0927 5.1619 0.1278
Ba 3.5146 3.2150 8.4301
O 3.1563 0.9803 4.0671
O 6.0344 3.6456 6.9897
C 4.7606 4.9913 5.4349
C 6.2194 3.1467 0.4547
H 1.5090 1.0348 3.4706
C 5.9350 4.0836 5.8409
H 5.8512 1.9605 2.6959
H 4.8445 7.1144 8.5799
O 5.8302 3.5572 1.5708
O 8.6030 3.9130 11.1481
O 4.6613 5.4293 4.2861
C 5.9350 2.3464 11.0194
C 7.1502 7.6841 6.0926
O 7.4405 6.5580 5.5636
Ba 7.1811 5.8599 2.8457
O 3.2405 3.4391 2.4679
O 4.0857 0.6820 0.7803
```

Properties
Total energy (eV/atom): -6.6931